Compound: Er6ZnCu5
Source: the Alexandria database
Functional: PBE
Structure: optimized geometry

a b c (Å): 4.889 6.886 7.720
angles (deg): 90.00 71.54 90.00
Element x y z (fractional)
Cu1 0.337 0.000 0.326
Cu2 0.334 0.500 0.332
Cu3 0.666 0.500 0.668
Cu4 0.663 0.000 0.674
Cu5 0.000 0.500 0.000
Er1 0.831 0.252 0.337
Er2 0.169 0.252 0.663
Er3 0.500 0.745 0.000
Er4 0.831 0.748 0.337
Er5 0.169 0.748 0.663
Er6 0.500 0.255 0.000
Zn1 0.000 0.000 0.000

Summary:
* energy of formation from the pure elements: -0.29 eV/atom
* DOS(E_F): 0.54 states/eV per atom

---

Compound: Er3Zn2Cu9
Source: the Alexandria database
Functional: PBE
Structure: optimized geometry

a b c (Å): 4.153 7.829 7.829
angles (deg): 68.15 74.62 74.62
Element x y z (fractional)
Cu1 0.000 0.500 0.500
Cu2 0.128 0.156 0.589
Cu3 0.670 0.971 0.689
Cu4 0.330 0.311 0.029
Cu5 0.872 0.844 0.411
Cu6 0.128 0.589 0.156
Cu7 0.330 0.029 0.311
Cu8 0.872 0.411 0.844
Cu9 0.670 0.689 0.971
Er1 0.000 0.000 0.000
Er2 0.299 0.701 0.701
Er3 0.701 0.299 0.299
Zn1 0.500 0.701 0.299
Zn2 0.500 0.299 0.701

Summary:
* energy of formation from the pure elements: -0.23 eV/atom
* DOS(E_F): 0.56 states/eV per atom

---

Compound: Er3ZnCu
Source: the Alexandria database
Functional: PBE
Structure: optimized geometry

a b c (Å): 8.220 6.412 8.876
angles (deg): 88.81 90.00 90.00
Element x y z (fractional)
Er1 0.556 0.780 0.830
Er2 0.056 0.220 0.670
Er3 0.954 0.761 0.925
Er4 0.454 0.239 0.575
Er5 0.803 0.277 0.371
Er6 0.944 0.780 0.330
Er7 0.546 0.761 0.425
Er8 0.444 0.220 0.170
Er9 0.046 0.239 0.075
Er10 0.303 0.723 0.129
Er11 0.197 0.723 0.629
Er12 0.697 0.277 0.871
Cu1 0.719 0.973 0.121
Cu2 0.781 0.973 0.621
Cu3 0.281 0.027 0.879
Cu4 0.219 0.027 0.379
Zn1 0.322 0.421 0.871
Zn2 0.178 0.421 0.371
Zn3 0.822 0.579 0.629
Zn4 0.678 0.579 0.129

Summary:
* energy of formation from the pure elements: -0.18 eV/atom
* polymorph energy (0 for the lowest one): 47.2 meV per atom
* DOS(E_F): 0.95 states/eV per atom

---

Compound: ErZn4Cu4
Source: the Alexandria database
Functional: PBE
Structure: optimized geometry

a b c (Å): 4.346 8.015 8.015
angles (deg): 90.00 90.00 90.00
Element x y z (fractional)
Cu1 0.000 0.376 0.716
Cu2 0.500 0.124 0.784
Cu3 0.000 0.624 0.284
Cu4 0.500 0.784 0.876
Cu5 0.000 0.284 0.376
Cu6 0.000 0.716 0.624
Cu7 0.500 0.216 0.124
Cu8 0.500 0.876 0.216
Zn1 0.500 0.415 0.868
Zn2 0.500 0.132 0.415
Zn3 0.500 0.868 0.585
Zn4 0.000 0.915 0.368
Zn5 0.000 0.368 0.085
Zn6 0.000 0.632 0.915
Zn7 0.000 0.085 0.632
Zn8 0.500 0.585 0.132
Er1 0.000 0.000 0.000
Er2 0.500 0.500 0.500

Summary:
* energy of formation from the pure elements: -0.05 eV/atom
* DOS(E_F): 0.45 states/eV per atom